Entry from the Alexandria database: a relaxed Sr2VFeAsO3 crystal (GGA+U).

Geometry as extended XYZ:
```
16
Lattice="4.012 0.000 0.000 0.000 4.012 0.000 0.000 0.000 16.510" Properties=species:S:1:pos:R:3 pbc="T T T"
Sr 1.003 1.003 1.316
Sr 1.003 1.003 4.938
Sr 3.009 3.009 11.572
Sr 3.009 3.009 15.194
V 1.003 1.003 13.413
V 3.009 3.009 3.096
Fe 1.003 3.009 8.255
Fe 3.009 1.003 8.255
As 1.003 1.003 9.907
As 3.009 3.009 6.603
O 1.003 1.003 15.413
O 1.003 3.009 3.349
O 1.003 3.009 13.160
O 3.009 1.003 3.349
O 3.009 1.003 13.160
O 3.009 3.009 1.096
```

Computed properties:
Calculated total energy, eV per atom: -6.321
SG: P4/nmm